RbTb2Ce2O7: relaxed, PBE-GGA.

a b c (Å): 10.3821 10.3821 10.3821
angles (deg): 154.27 154.27 36.70
Sites, in units of the cell vectors:
Rb 0.0000 0.0000 0.0000
Tb 0.2500 0.7500 0.5000
Tb 0.7500 0.2500 0.5000
Ce 0.3892 0.3892 0.0000
Ce 0.6108 0.6108 0.0000
O 0.1345 0.6345 0.5000
O 0.2639 0.2639 0.0000
O 0.3655 0.8655 0.5000
O 0.5000 0.5000 0.0000
O 0.6345 0.1345 0.5000
O 0.7361 0.7361 0.0000
O 0.8655 0.3655 0.5000

ΔE_f (raw) = -3100 meV per atom
DOS at the Fermi energy = 5.56 states/eV/cell